# 1
This record from Alexandria describes an optimized crystal structure of KNa2Cu. The functional is PBE-GGA.

a b c (Å): 7.870 7.870 7.870
angles (deg): 90.00 90.00 90.00
Space group Fm-3m (No. 225)
Asymmetric unit:
K  0.000  0.000  0.000 x4
Na  0.250  0.250  0.250 x8
Cu  0.000  0.000  0.500 x4

Offset from the most stable computed form   0.000 eV per atom
DFT formation energy   27.7 kJ per mole of atoms
Calculated volume   30.461 Å³ per atom
VASP energy   -1.671 eV/atom



# 2
This record from Alexandria describes an optimized crystal structure of InRe2Au. The functional is PBE-GGA.

a b c (Å): 2.823 2.823 8.506
angles (deg): 90.00 90.00 90.00
Space group P4/mmm (No. 123)
Asymmetric unit:
In  0.000  0.000  0.000 x1
Re  0.500  0.500  0.259 x2
Au  0.000  0.000  0.500 x1

DFT formation energy   75.2 kJ per mole of atoms
Calculated volume   16.941 Å³ per atom
VASP energy   -6.948 eV/atom



# 3
This record from Alexandria describes an optimized crystal structure of Sr2Cd16Bi. The functional is PBE-GGA.

a b c (Å): 10.4822 10.4822 14.8955
angles (deg): 90.00 90.00 120.00
Space group R3m (No. 160, hexagonal axes)
Asymmetric unit:
Sr  0.0000  0.0000  0.0000 x3
Sr  0.0000  0.0000  0.3250 x3
Cd  0.0000  0.0000  0.7653 x3
Cd  0.0136  0.5068  0.8164 x9
Cd  0.0248  0.3569  0.3295 x18
Cd  0.1748  0.3497  0.8412 x9
Cd  0.1763  0.3526  0.4980 x9
Bi  0.0000  0.0000  0.5583 x3

DFT formation energy   -16.0 kJ per mole of atoms
Calculated volume   24.867 Å³ per atom
VASP energy   -1.318 eV/atom



# 4
This record from Alexandria describes an optimized crystal structure of La2DyGa. The functional is PBE-GGA.

a b c (Å): 3.789 10.155 6.705
angles (deg): 90.00 106.41 90.00
Space group P2_1/m (No. 11)
Asymmetric unit:
La  0.136  0.049  0.273 x4
Dy  0.442  0.250  0.883 x2
Ga  0.240  0.750  0.481 x2

Offset from the most stable computed form   0.000 eV per atom
DFT formation energy   -25.4 kJ per mole of atoms
Calculated volume   30.935 Å³ per atom
VASP energy   -4.635 eV/atom



# 5
This record from Alexandria describes an optimized crystal structure of Ac3Si2HgPt9. The functional is PBE-GGA.

a b c (Å): 7.4452 7.4452 6.9898
angles (deg): 90.00 90.00 120.00
Space group P-3m1 (No. 164)
Asymmetric unit:
Ac  0.0000  0.0000  0.0000 x1
Ac  0.3333  0.6667  0.6583 x2
Si  0.3333  0.6667  0.1355 x2
Hg  0.0000  0.0000  0.5000 x1
Pt  0.0000  0.5000  0.0000 x3
Pt  0.1811  0.3621  0.3145 x6

ΔE_f (raw)   -0.65 eV/atom
Calculated volume   22.370 Å³ per atom
VASP energy   -5.838 eV/atom



# 6
This record from Alexandria describes an optimized crystal structure of Na3HfSc2O6. The functional is PBE-GGA.

a b c (Å): 5.513 9.547 5.836
angles (deg): 90.00 108.37 90.00
Space group C2/m (No. 12)
Asymmetric unit:
Na  0.000  0.000  0.000 x2
Na  0.000  0.331  0.000 x4
Hf  0.000  0.500  0.500 x2
Sc  0.000  0.167  0.500 x4
O  0.233  0.337  0.709 x8
O  0.244  0.000  0.709 x4

ΔE_f (raw)   -2.72 eV/atom
Calculated volume   12.145 Å³ per atom
VASP energy   -7.417 eV/atom



# 7
This record from Alexandria describes an optimized crystal structure of CsCdSb3. The functional is PBE-GGA.

a b c (Å): 6.270 6.270 6.270
angles (deg): 90.00 90.00 90.00
Space group Pm-3m (No. 221)
Asymmetric unit:
Cs  0.000  0.000  0.000 x1
Cd  0.500  0.500  0.500 x1
Sb  0.000  0.000  0.500 x3

ΔE_f (raw)   1.44 eV/atom
Calculated volume   49.303 Å³ per atom
VASP energy   -1.384 eV/atom



# 8
This record from Alexandria describes an optimized crystal structure of TaTl7S6. The functional is PBE-GGA.

a b c (Å): 7.722 12.946 18.049
angles (deg): 90.00 90.00 90.00
Space group Ibam (No. 72)
Asymmetric unit:
Ta  0.000  0.000  0.250 x4
Tl  0.000  0.500  0.250 x4
Tl  0.201  0.079  0.000 x8
Tl  0.211  0.326  0.114 x16
S  0.049  0.251  0.500 x8
S  0.177  0.101  0.178 x16

ΔE_f (raw)   -0.52 eV/atom
Calculated volume   32.221 Å³ per atom
VASP energy   -4.315 eV/atom